Entry 1:
Entry from the Alexandria database: a relaxed structure of MgCuRe2 (PBE).

a b c (Å): 4.3578 4.3578 4.3578
angles (deg): 120.10 120.09 89.83
Element x y z (fractional)
Cu  0.5000  0.5000  0.0000
Re  0.0000  0.0000  0.0000
Re  0.7500  0.2500  0.5000
Mg  0.2500  0.7500  0.5000

Results
M_tot   0.00 μB per formula unit
E_tot   -7.431 eV/atom
SG   I-4m2, No. 119
Crystal system   tetragonal
Energy of formation   0.22 eV per atom

Entry 2:
Entry from the Alexandria database: a relaxed structure of MgCu2Re (PBE).

a b c (Å): 2.6280 3.9474 5.4562
angles (deg): 90.00 90.00 90.00
Element x y z (fractional)
Cu  0.5000  0.5000  0.2478
Cu  0.0000  0.0000  0.9970
Re  0.5000  0.5000  0.7687
Mg  0.0000  0.0000  0.4866

Results
M_tot   0.00 μB per formula unit
E_tot   -5.237 eV/atom
SG   Pmm2, No. 25
Crystal system   orthorhombic
Energy of formation   0.32 eV per atom

Entry 3:
Entry from the Alexandria database: a relaxed structure of MgCu2Re (PBE).

a b c (Å): 8.9195 8.9195 8.9195
angles (deg): 17.76 17.76 17.76
Element x y z (fractional)
Cu  0.9974  0.9974  0.9974
Cu  0.2545  0.2545  0.2545
Re  0.7455  0.7455  0.7455
Mg  0.5026  0.5026  0.5026

Results
M_tot   0.00 μB per formula unit
E_tot   -5.302 eV/atom
SG   R3m, No. 160
Crystal system   trigonal
Energy of formation   0.26 eV per atom

Entry 4:
Entry from the Alexandria database: a relaxed structure of Mg2CuRe (PBE).

a b c (Å): 4.9298 4.9298 4.9298
angles (deg): 133.11 133.11 68.49
Element x y z (fractional)
Mg  0.0000  0.0000  0.0000
Mg  0.2500  0.7500  0.5000
Cu  0.7500  0.2500  0.5000
Re  0.5000  0.5000  0.0000

Results
M_tot   0.00 μB per formula unit
E_tot   -4.487 eV/atom
SG   I-4m2, No. 119
Polymorph energy (0 for the lowest one)   280 meV per atom
Crystal system   tetragonal
Energy of formation   0.45 eV per atom